(1)
Below is MgSc8S4 after structural relaxation, with properties calculated at the PBE-GGA level. Values from VASP.

* symmetry: C2/m
* ΔE_f (raw): -1.1212 eV per atom
* calculated volume: 273.9 Å³/f.u.
* density: 3.1 g/cm³
* magnetization: 0.000 μB/cell

The structure in Quantum ESPRESSO input format:
```
&SYSTEM
  ibrav = 0, nat = 13, ntyp = 3
/
ATOMIC_SPECIES
Sc 44.96 Sc.upf
S 32.06 S.upf
Mg 24.30 Mg.upf
ATOMIC_POSITIONS crystal
Sc 0.170 0.302 0.357
Sc 0.186 0.698 0.929
Sc 0.560 0.615 0.264
Sc 0.471 0.389 0.669
Sc 0.150 0.037 0.663
Sc 0.881 0.967 0.271
Sc 0.861 0.701 0.577
Sc 0.845 0.305 0.004
S 0.201 0.472 0.125
S 0.360 0.843 0.436
S 0.671 0.160 0.498
S 0.830 0.532 0.808
Mg 0.516 0.001 0.967
CELL_PARAMETERS angstrom
3.547 0.000 0.768
1.694 8.672 0.752
-0.066 -0.348 8.875
```

(2)
Below is LiTh2ZrN4 after structural relaxation, with properties calculated at the PBE-GGA level. Values from VASP.

* symmetry: P2/m
* ΔE_f (raw): -1.2638 eV per atom
* calculated volume: 120.0 Å³/f.u.
* density: 8.6 g/cm³
* magnetization: 0.000 μB/cell

The structure in Quantum ESPRESSO input format:
```
&SYSTEM
  ibrav = 0, nat = 8, ntyp = 4
/
ATOMIC_SPECIES
Th 232.04 Th.upf
Zr 91.22 Zr.upf
N 14.01 N.upf
Li 6.94 Li.upf
ATOMIC_POSITIONS crystal
Th 0.500 0.000 0.500
Th 0.000 0.500 0.500
Zr 0.000 0.000 0.000
N 0.000 0.776 0.252
N 0.500 0.762 0.763
N 0.500 0.238 0.237
N 0.000 0.224 0.748
Li 0.500 0.500 0.000
CELL_PARAMETERS angstrom
3.575 0.000 0.000
0.000 6.080 0.165
0.000 -2.074 5.464
```

(3)
Below is Mg2IrOs after structural relaxation, with properties calculated at the PBE-GGA level. Values from VASP.

* symmetry: F-43m
* ΔE_f: 0.096 eV/atom
* calculated volume: 62.0 Å³/f.u.
* excess energy over the best structure of this formula in the dataset: 0.1749 eV per atom
* density: 11.5 g/cm³
* magnetization: 0.003 μB/cell

The structure in Quantum ESPRESSO input format:
```
&SYSTEM
  ibrav = 0, nat = 4, ntyp = 3
/
ATOMIC_SPECIES
Mg 24.30 Mg.upf
Os 190.23 Os.upf
Ir 192.22 Ir.upf
ATOMIC_POSITIONS crystal
Mg 0.250 0.250 0.250
Mg 0.000 0.000 0.000
Os 0.750 0.750 0.750
Ir 0.500 0.500 0.500
CELL_PARAMETERS angstrom
4.443 0.000 0.000
2.221 3.847 0.000
2.221 1.282 3.627
```

(4)
Below is TeAuSe2 after structural relaxation, with properties calculated at the PBE-GGA level. Values from VASP.

* symmetry: I-42d
* ΔE_f (raw): 0.2041 eV per atom
* calculated volume: 118.3 Å³/f.u.
* excess energy over the best structure of this formula in the dataset: 0.1739 eV per atom
* density: 6.8 g/cm³
* magnetization: 0.000 μB/cell

The structure in Quantum ESPRESSO input format:
```
&SYSTEM
  ibrav = 0, nat = 8, ntyp = 3
/
ATOMIC_SPECIES
Au 196.97 Au.upf
Te 127.60 Te.upf
Se 78.96 Se.upf
ATOMIC_POSITIONS crystal
Au 0.000 0.000 0.000
Au 0.750 0.250 0.500
Te 0.250 0.750 0.500
Te 0.500 0.500 0.000
Se 0.107 0.625 0.250
Se 0.643 0.125 0.250
Se 0.875 0.893 0.750
Se 0.375 0.357 0.750
CELL_PARAMETERS angstrom
5.635 0.000 0.000
0.000 5.635 0.000
2.818 2.818 7.452
```

(5)
Below is Ce2PmH after structural relaxation, with properties calculated at the PBE-GGA level. Values from VASP.

* symmetry: P4/mmm
* calculated volume: 90.3 Å³/f.u.
* excess energy over the best structure of this formula in the dataset: 0.1362 eV per atom
* density: 7.8 g/cm³
* magnetization: 0.001 μB/cell

The structure in Quantum ESPRESSO input format:
```
&SYSTEM
  ibrav = 0, nat = 4, ntyp = 3
/
ATOMIC_SPECIES
Ce 140.12 Ce.upf
H 1.01 H.upf
Pm 145.00 Pm.upf
ATOMIC_POSITIONS crystal
Ce 0.000 0.000 0.839
Ce 0.000 0.000 0.161
H 0.500 0.500 0.000
Pm 0.500 0.500 0.500
CELL_PARAMETERS angstrom
3.250 0.000 0.000
0.000 3.250 0.000
0.000 0.000 8.550
```

(6)
Below is MnBi2As2 after structural relaxation, with properties calculated at the PBE-GGA level. Values from VASP.

* symmetry: P4/mbm
* ΔE_f: 0.254 eV/atom
* calculated volume: 116.2 Å³/f.u.
* density: 8.9 g/cm³
* magnetization: 0.000 μB/cell

The structure in Quantum ESPRESSO input format:
```
&SYSTEM
  ibrav = 0, nat = 10, ntyp = 3
/
ATOMIC_SPECIES
Bi 208.98 Bi.upf
Mn 54.94 Mn.upf
As 74.92 As.upf
ATOMIC_POSITIONS crystal
Bi 0.779 0.721 0.500
Bi 0.221 0.279 0.500
Bi 0.721 0.221 0.500
Bi 0.279 0.779 0.500
Mn 0.500 0.500 0.000
Mn 0.000 0.000 0.000
As 0.353 0.853 0.000
As 0.147 0.353 0.000
As 0.853 0.647 0.000
As 0.647 0.147 0.000
CELL_PARAMETERS angstrom
-1.399 -2.443 5.659
-4.599 -3.451 -2.626
3.779 -4.326 -0.933
```

- Which of these has the lowest calculated volume?
  Mg2IrOs

- What is the formula in the fifth record?
  Ce2PmH

- Among the records above, which one has the highest density?
  Mg2IrOs